# 1
Material: AgP2Au2
Method: DFT, GGA-PBE
State: relaxed

Cell and atoms, written as extended XYZ:
```
10
Lattice="7.0652 0.0000 0.0000 0.0000 7.0652 0.0000 0.0000 0.0000 3.6322" Properties=species:S:1:pos:R:3 pbc="T T T"
Ag 0.0000 0.0000 0.0000
Ag 3.5326 3.5326 0.0000
P 1.2516 2.2810 0.0000
P 2.2810 5.8136 0.0000
P 4.7841 1.2516 0.0000
P 5.8136 4.7841 0.0000
Au 1.0175 4.5500 1.8161
Au 2.5151 1.0175 1.8161
Au 4.5500 6.0477 1.8161
Au 6.0477 2.5151 1.8161
```

VASP energy ... -3.699 eV per atom
Space group ... P4/mbm (127)


# 2
Material: AgP2Au
Method: DFT, GGA-PBE
State: relaxed

Cell and atoms, written as extended XYZ:
```
4
Lattice="5.6513 -1.8213 0.0000 5.6513 1.8213 0.0000 -0.0335 0.0000 3.5949" Properties=species:S:1:pos:R:3 pbc="T T T"
Ag 0.0000 0.0000 0.0000
P 6.0994 0.0000 1.8018
P 8.3071 0.0000 1.8222
Au 2.9822 0.0000 0.0271
```

VASP energy ... -4.048 eV per atom
Space group ... Cm (8)


Values for offset from the most stable computed form, meV per atom, ordered as above
63, 80
Values for size of the total moment, Bohr magnetons per cell, ordered as above
0.0, 0.0
Values for Fermi-level density of states, states/eV per cell, ordered as above
3.4, 1.2